# 1
Compound: MnZnIn4S8
Source: the Alexandria database
Functional: GGA-PBEsol
Structure: relaxed

```
14
Lattice="-0.449 0.715 -3.755 6.401 -1.579 -1.067 -4.044 -11.950 0.180" Properties=species:S:1:pos:R:3 pbc="T T T"
S 1.729 -5.325 -3.194
S 4.696 -2.478 -3.007
S -1.229 -7.322 -3.220
S 2.355 -11.546 -4.454
S 1.721 -2.024 -0.591
S -0.803 -10.993 -1.998
S 2.355 -8.399 -1.882
S -1.379 -4.885 -0.765
In -0.700 -2.600 -0.412
In 2.266 -2.996 -2.814
In 1.614 -10.743 -2.240
In 0.430 -6.752 -1.338
Mn 3.469 -7.158 -3.751
Zn -1.734 -9.582 -3.590
```

- raw formation energy (eV/atom) = -0.58

# 2
Compound: MnIn2Sb
Source: the Alexandria database
Functional: GGA-PBEsol
Structure: relaxed

```
4
Lattice="-3.170 3.079 -2.432 -4.109 -1.874 -2.247 -4.571 0.938 1.915" Properties=species:S:1:pos:R:3 pbc="T T T"
Sb -2.963 0.536 -0.691
In -8.888 1.607 -2.073
In 0.000 0.000 0.000
Mn -5.925 1.071 -1.382
```

- raw formation energy (eV/atom) = 0.37

# 3
Compound: Mn2InSb
Source: the Alexandria database
Functional: GGA-PBEsol
Structure: relaxed

```
4
Lattice="3.693 0.000 0.000 1.847 3.198 0.000 1.847 1.066 6.119" Properties=species:S:1:pos:R:3 pbc="T T T"
Mn 5.540 3.198 5.138
Mn 1.847 1.066 5.486
Sb 3.693 2.132 3.563
In 1.847 1.066 1.110
```

- raw formation energy (eV/atom) = 0.27
- polymorph energy (0 for the lowest one) (meV/atom) = 0

# 4
Compound: Mn2InSb
Source: the Alexandria database
Functional: GGA-PBEsol
Structure: relaxed

```
4
Lattice="4.087 0.000 0.000 0.000 4.492 0.000 -2.044 -2.246 3.753" Properties=species:S:1:pos:R:3 pbc="T T T"
In 0.000 2.246 0.000
Sb 2.044 0.000 0.000
Mn 0.000 0.000 1.853
Mn 2.044 2.246 1.900
```

- raw formation energy (eV/atom) = 0.36
- polymorph energy (0 for the lowest one) (meV/atom) = 94

# 5
Compound: Sc2MnIn
Source: the Alexandria database
Functional: GGA-PBEsol
Structure: relaxed

```
4
Lattice="3.235 0.000 0.000 0.000 3.235 0.000 0.000 0.000 7.071" Properties=species:S:1:pos:R:3 pbc="T T T"
Sc 0.000 0.000 2.057
Sc 0.000 0.000 5.013
Mn 1.617 1.617 3.535
In 1.617 1.617 0.000
```

- ΔH_f (0 K) (eV per atom) = -0.206

# 6
Compound: Sc3MnIn
Source: the Alexandria database
Functional: GGA-PBEsol
Structure: relaxed

```
5
Lattice="-2.609 3.927 -0.708 -3.418 -1.762 2.819 2.060 2.050 3.780" Properties=species:S:1:pos:R:3 pbc="T T T"
Sc -1.304 1.964 -0.354
Sc 1.030 1.025 1.890
Sc -1.709 -0.881 1.409
In -1.983 2.108 2.945
Mn 0.000 0.000 0.000
```

- ΔH_f (0 K) (eV per atom) = 0.082

# 7
Compound: Sc4MnIn
Source: the Alexandria database
Functional: GGA-PBEsol
Structure: relaxed

```
6
Lattice="-5.213 0.179 -2.214 -4.516 -0.855 3.314 -3.459 4.312 1.242" Properties=species:S:1:pos:R:3 pbc="T T T"
Sc -7.206 0.932 2.541
Sc -6.676 3.527 1.501
Sc -7.556 1.451 -0.235
Sc -4.938 1.361 0.877
In -9.891 2.727 1.756
Mn 0.000 0.000 0.000
```

- ΔH_f (0 K) (eV per atom) = 0.359

# 8
Compound: MnIn2Se4
Source: the Alexandria database
Functional: GGA-PBEsol
Structure: relaxed

```
7
Lattice="-3.017 1.888 -1.978 -1.951 -1.899 -3.027 -10.087 -4.695 6.710" Properties=species:S:1:pos:R:3 pbc="T T T"
In -10.005 -4.650 6.629
In -4.292 -1.471 0.951
Se -6.950 -2.950 3.593
Se -8.376 -1.908 -1.618
Se -2.590 -0.523 -0.740
Se -12.402 -4.148 2.383
Mn -10.738 -3.222 0.728
```

- raw formation energy (eV/atom) = -0.38

# 9
Compound: MnInSe3
Source: the Alexandria database
Functional: GGA-PBEsol
Structure: relaxed

```
5
Lattice="4.796 0.000 0.000 0.000 4.796 0.000 0.000 0.000 4.796" Properties=species:S:1:pos:R:3 pbc="T T T"
Mn 0.000 0.000 0.000
Se 0.000 2.398 0.000
Se 2.398 0.000 0.000
Se 0.000 0.000 2.398
In 2.398 2.398 2.398
```

- raw formation energy (eV/atom) = -0.02

# 10
Compound: Mn2InTeSe
Source: the Alexandria database
Functional: GGA-PBEsol
Structure: relaxed

```
5
Lattice="-1.543 -2.033 3.928 -3.923 -1.293 -2.210 2.475 -4.867 -1.546" Properties=species:S:1:pos:R:3 pbc="T T T"
In 1.238 -2.434 -0.773
Te -1.495 -4.097 0.086
Se 0.000 0.000 0.000
Mn -1.961 -0.646 -1.105
Mn -0.772 -1.016 1.964
```

- raw formation energy (eV/atom) = 0.48

# 11
Compound: Mn2InSi
Source: the Alexandria database
Functional: GGA-PBEsol
Structure: relaxed

```
4
Lattice="-0.759 0.497 -2.616 -1.674 -3.763 -0.228 -4.293 1.790 1.965" Properties=species:S:1:pos:R:3 pbc="T T T"
In -4.520 -0.278 0.468
Mn -0.720 0.464 -2.369
Mn -2.741 -0.941 -1.645
Si -2.030 0.920 -0.276
```

- raw formation energy (eV/atom) = 0.19

# 12
Compound: Mn2InSi
Source: the Alexandria database
Functional: GGA-PBEsol
Structure: relaxed

```
4
Lattice="2.831 0.000 0.000 0.000 2.831 0.000 0.000 0.000 6.689" Properties=species:S:1:pos:R:3 pbc="T T T"
Si 1.416 1.416 0.000
In 1.416 1.416 3.345
Mn 0.000 0.000 5.346
Mn 0.000 0.000 1.343
```

- raw formation energy (eV/atom) = -0.03

no.,E_tot (eV for the cell shown)
1,-66.42
2,-18.80
3,-26.00
4,-25.62
5,-26.78
6,-32.15
7,-37.01
8,-33.79
9,-24.41
10,-27.49
11,-27.48
12,-28.37